Entry 1:
A plane-wave DFT calculation with PBE-GGA was carried out for a geometry-optimized U2Zn16Ga structure.

Output
size of the total moment	5.78	μB/f.u.
formation energy	-0.05	eV/atom
electronic total energy	-141.0	eV per cell

Geometry as CIF:
```
data_U2Zn16Ga
_space_group_name_H-M_alt 'R 3 m'
_space_group_IT_number 160
_space_group_name_Hall 'R 3 -2"'
_cell_length_a 9.0292
_cell_length_b 9.0292
_cell_length_c 13.0967
_cell_angle_alpha 90.00
_cell_angle_beta 90.00
_cell_angle_gamma 120.00
loop_
_atom_site_label
_atom_site_fract_x
_atom_site_fract_y
_atom_site_fract_z
U1 0.0000 0.0000 0.0000
U2 0.0000 0.0000 0.3290
Zn1 0.0000 0.0000 0.5670
Zn2 0.0003 0.3019 0.6645
Zn3 0.0067 0.5034 0.1642
Zn4 0.0105 0.5052 0.8178
Zn5 0.1727 0.3453 0.8455
Ga1 0.0000 0.0000 0.7677
```

Entry 2:
A plane-wave DFT calculation with PBE-GGA was carried out for a geometry-optimized UZn10Ga2 structure.

Output
size of the total moment	2.88	μB/f.u.
formation energy	-0.02	eV/atom
electronic total energy	-121.2	eV per cell

Geometry as CIF:
```
data_UZn10Ga2
_space_group_name_H-M_alt 'C m c m'
_space_group_IT_number 63
_space_group_name_Hall '-C 2c 2'
_cell_length_a 8.884
_cell_length_b 10.564
_cell_length_c 8.998
_cell_angle_alpha 90.00
_cell_angle_beta 90.00
_cell_angle_gamma 90.00
loop_
_atom_site_label
_atom_site_fract_x
_atom_site_fract_y
_atom_site_fract_z
U1 0.000 0.136 0.250
Zn1 0.000 0.150 0.606
Zn2 0.000 0.394 0.072
Zn3 0.144 0.378 0.750
Zn4 0.215 0.000 0.000
Zn5 0.237 0.381 0.250
Ga1 0.250 0.250 0.000
```

Entry 3:
A plane-wave DFT calculation with PBE-GGA was carried out for a geometry-optimized U2Zn2Ga structure.

Output
size of the total moment	2.92	μB/f.u.
formation energy	-0.08	eV/atom
electronic total energy	-57.1	eV per cell

Geometry as CIF:
```
data_U2Zn2Ga
_space_group_name_H-M_alt 'C m m m'
_space_group_IT_number 65
_space_group_name_Hall '-C 2 2'
_cell_length_a 4.799
_cell_length_b 13.470
_cell_length_c 2.843
_cell_angle_alpha 90.00
_cell_angle_beta 90.00
_cell_angle_gamma 90.00
loop_
_atom_site_label
_atom_site_fract_x
_atom_site_fract_y
_atom_site_fract_z
U1 0.000 0.094 0.000
Zn1 0.000 0.299 0.500
Ga1 0.000 0.500 0.500
```

Entry 4:
A plane-wave DFT calculation with PBE-GGA was carried out for a geometry-optimized UZn2Ga structure.

Output
size of the total moment	2.53	μB/f.u.
formation energy	0.11	eV/atom
E above lowest polymorph	8	meV/atom
electronic total energy	-49.3	eV per cell

Geometry as CIF:
```
data_UZn2Ga
_space_group_name_H-M_alt 'R -3 m'
_space_group_IT_number 166
_space_group_name_Hall '-R 3 2"'
_cell_length_a 4.7214
_cell_length_b 4.7214
_cell_length_c 11.5901
_cell_angle_alpha 90.00
_cell_angle_beta 90.00
_cell_angle_gamma 120.00
loop_
_atom_site_label
_atom_site_fract_x
_atom_site_fract_y
_atom_site_fract_z
U1 0.0000 0.0000 0.0000
Zn1 0.0000 0.0000 0.2497
Ga1 0.0000 0.0000 0.5000
```

Entry 5:
A plane-wave DFT calculation with PBE-GGA was carried out for a geometry-optimized U2ZnGa structure.

Output
size of the total moment	1.55	μB/f.u.
formation energy	-0.05	eV/atom
electronic total energy	-27.1	eV per cell

Geometry as CIF:
```
data_U2ZnGa
_space_group_name_H-M_alt 'P 4/m m m'
_space_group_IT_number 123
_space_group_name_Hall '-P 4 2'
_cell_length_a 3.839
_cell_length_b 3.839
_cell_length_c 4.903
_cell_angle_alpha 90.00
_cell_angle_beta 90.00
_cell_angle_gamma 90.00
loop_
_atom_site_label
_atom_site_fract_x
_atom_site_fract_y
_atom_site_fract_z
U1 0.000 0.500 0.000
Zn1 0.000 0.000 0.500
Ga1 0.500 0.500 0.500
```

Entry 6:
A plane-wave DFT calculation with PBE-GGA was carried out for a geometry-optimized U2ZnGa8 structure.

Output
size of the total moment	4.62	μB/f.u.
formation energy	-0.16	eV/atom
electronic total energy	-49.8	eV per cell

Geometry as CIF:
```
data_U2ZnGa8
_space_group_name_H-M_alt 'P 4/m m m'
_space_group_IT_number 123
_space_group_name_Hall '-P 4 2'
_cell_length_a 4.359
_cell_length_b 4.359
_cell_length_c 11.083
_cell_angle_alpha 90.00
_cell_angle_beta 90.00
_cell_angle_gamma 90.00
loop_
_atom_site_label
_atom_site_fract_x
_atom_site_fract_y
_atom_site_fract_z
U1 0.000 0.000 0.188
Zn1 0.000 0.000 0.500
Ga1 0.000 0.500 0.000
Ga2 0.000 0.500 0.370
Ga3 0.500 0.500 0.187
```

Entry 7:
A plane-wave DFT calculation with PBE-GGA was carried out for a geometry-optimized UZn11Ga structure.

Output
size of the total moment	3.06	μB/f.u.
formation energy	-0.03	eV/atom
electronic total energy	-57.4	eV per cell

Geometry as CIF:
```
data_UZn11Ga
_space_group_name_H-M_alt 'C 1 2/m 1'
_space_group_IT_number 12
_cell_length_a 5.274
_cell_length_b 12.625
_cell_length_c 6.775
_cell_angle_alpha 90.00
_cell_angle_beta 112.52
_cell_angle_gamma 90.00
loop_
_space_group_symop_operation_xyz
'x,y,z'
'-x,-y,-z'
'-x,y,-z'
'x,-y,z'
'x+1/2,y+1/2,z'
'-x+1/2,-y+1/2,-z'
'-x+1/2,y+1/2,-z'
'x+1/2,-y+1/2,z'
loop_
_atom_site_label
_atom_site_fract_x
_atom_site_fract_y
_atom_site_fract_z
U1 0.000 0.000 0.000
Zn1 0.000 0.500 0.500
Zn2 0.102 0.392 0.213
Zn3 0.182 0.178 0.353
Zn4 0.250 0.250 0.000
Ga1 0.000 0.000 0.500
```

Entry 8:
A plane-wave DFT calculation with PBE-GGA was carried out for a geometry-optimized U2ZnGa2 structure.

Output
size of the total moment	3.26	μB/f.u.
formation energy	-0.10	eV/atom
electronic total energy	-121.5	eV per cell

Geometry as CIF:
```
data_U2ZnGa2
_space_group_name_H-M_alt 'C 1 2/m 1'
_space_group_IT_number 12
_cell_length_a 9.895
_cell_length_b 4.794
_cell_length_c 8.673
_cell_angle_alpha 90.00
_cell_angle_beta 107.07
_cell_angle_gamma 90.00
loop_
_space_group_symop_operation_xyz
'x,y,z'
'-x,-y,-z'
'-x,y,-z'
'x,-y,z'
'x+1/2,y+1/2,z'
'-x+1/2,-y+1/2,-z'
'-x+1/2,y+1/2,-z'
'x+1/2,-y+1/2,z'
loop_
_atom_site_label
_atom_site_fract_x
_atom_site_fract_y
_atom_site_fract_z
U1 0.059 0.000 0.342
U2 0.129 0.000 0.080
Zn1 0.241 0.500 0.298
Ga1 0.046 0.500 0.868
Ga2 0.130 0.500 0.593
```

Entry 9:
A plane-wave DFT calculation with PBE-GGA was carried out for a geometry-optimized UZnGa structure.

Output
size of the total moment	2.69	μB/f.u.
formation energy	-0.11	eV/atom
electronic total energy	-15.9	eV per cell

Geometry as CIF:
```
data_UZnGa
_space_group_name_H-M_alt 'P -6 m 2'
_space_group_IT_number 187
_space_group_name_Hall 'P -6 2'
_cell_length_a 4.7339
_cell_length_b 4.7339
_cell_length_c 2.8910
_cell_angle_alpha 90.00
_cell_angle_beta 90.00
_cell_angle_gamma 120.00
loop_
_atom_site_label
_atom_site_fract_x
_atom_site_fract_y
_atom_site_fract_z
U1 0.0000 0.0000 0.0000
Zn1 0.6667 0.3333 0.5000
Ga1 0.3333 0.6667 0.5000
```

Entry 10:
A plane-wave DFT calculation with PBE-GGA was carried out for a geometry-optimized Zr12U3Ga5 structure.

Output
size of the total moment	9.37	μB/f.u.
formation energy	0.68	eV/atom
electronic total energy	-1103.7	eV per cell

Geometry as CIF:
```
data_Zr12U3Ga5
_space_group_name_H-M_alt 'I a -3 d'
_space_group_IT_number 230
_space_group_name_Hall '-I 4bd 2c 3'
_cell_length_a 16.086
_cell_length_b 16.086
_cell_length_c 16.086
_cell_angle_alpha 90.00
_cell_angle_beta 90.00
_cell_angle_gamma 90.00
loop_
_atom_site_label
_atom_site_fract_x
_atom_site_fract_y
_atom_site_fract_z
Zr1 0.023 0.080 0.648
U1 0.000 0.250 0.125
Ga1 0.000 0.000 0.000
Ga2 0.000 0.250 0.375
```

Entry 11:
A plane-wave DFT calculation with PBE-GGA was carried out for a geometry-optimized VGa structure.

Output
size of the total moment	0.00	μB/f.u.
formation energy	0.13	eV/atom
electronic total energy	-95.1	eV per cell

Geometry as CIF:
```
data_VGa
_space_group_name_H-M_alt 'I 4/m'
_space_group_IT_number 87
_space_group_name_Hall '-I 4'
_cell_length_a 7.615
_cell_length_b 7.615
_cell_length_c 4.736
_cell_angle_alpha 90.00
_cell_angle_beta 90.00
_cell_angle_gamma 90.00
loop_
_atom_site_label
_atom_site_fract_x
_atom_site_fract_y
_atom_site_fract_z
V1 0.052 0.367 0.000
Ga1 0.118 0.208 0.500
```

Entry 12:
A plane-wave DFT calculation with PBE-GGA was carried out for a geometry-optimized VGa2 structure.

Output
size of the total moment	0.20	μB/f.u.
formation energy	0.03	eV/atom
electronic total energy	-60.4	eV per cell

Geometry as CIF:
```
data_VGa2
_space_group_name_H-M_alt 'F m m m'
_space_group_IT_number 69
_space_group_name_Hall '-F 2 2'
_cell_length_a 3.979
_cell_length_b 4.664
_cell_length_c 9.839
_cell_angle_alpha 90.00
_cell_angle_beta 90.00
_cell_angle_gamma 90.00
loop_
_atom_site_label
_atom_site_fract_x
_atom_site_fract_y
_atom_site_fract_z
V1 0.000 0.000 0.000
Ga1 0.000 0.000 0.338
```

> Which formula does entry 2 have?

UZn10Ga2

> What is the size of the total moment in the seventh record?

3.06 μB/f.u.

> size of the total moment of number 11 (VGa)?

0.00 μB/f.u.